SeICl2 | GGA-PBE | relaxed

Geometry as extended XYZ:
```
4
Lattice="-0.5789 -4.1888 -3.0823 -1.3575 -4.6079 2.0752 -4.7707 -1.9619 -0.8797" Properties=species:S:1:pos:R:3 pbc="T T T"
I -3.3535 -5.3793 -0.9434
Cl -1.6768 -2.6897 -0.4717
Cl -5.0303 -8.0690 -1.4151
Se 0.0000 0.0000 0.0000
```

Calculated values
Formation energy from raw total energies in eV per formula unit: 2.800
Calculated total energy in eV/atom: -1.4820
Symmetry: No. 225
Volume in A^3/atom: 25.3

Sn2SeICl | GGA-PBE | relaxed

Geometry as extended XYZ:
```
10
Lattice="6.9401 0.0000 0.0000 0.0000 7.5406 -0.2657 0.0000 -2.5184 6.7824" Properties=species:S:1:pos:R:3 pbc="T T T"
Se 3.3719 -0.6296 1.6956
Cl 0.0000 0.0000 0.0000
Sn 4.8371 0.3539 3.8441
I 4.8517 3.1407 1.5628
Cl 0.0000 -1.2592 3.3912
I 2.0884 1.8815 4.9540
Sn 4.8371 3.4091 6.0639
Se 3.5681 -1.8888 5.0868
Sn 2.1030 4.6683 2.6727
Sn 2.1030 1.6131 0.4529
```

Calculated values
Formation energy from raw total energies in eV per formula unit: -2.857
Calculated total energy in eV/atom: -3.5488
Symmetry: No. 13
Volume in A^3/atom: 35.0

Tl4SeICl | GGA-PBE | relaxed

Geometry as extended XYZ:
```
14
Lattice="8.5345 0.0000 0.8746 0.0000 7.2788 0.0000 -2.2932 0.0000 8.4253" Properties=species:S:1:pos:R:3 pbc="T T T"
Tl 6.6983 3.5918 2.9365
Tl 2.6339 5.4591 5.7924
Tl -0.4570 7.2312 6.3633
Cl 6.1679 1.8197 5.8030
Tl -0.4570 3.6871 6.3633
I 1.3794 1.8197 0.8592
Tl 3.6074 1.8197 3.5075
Cl 0.0734 5.4591 3.4969
I 4.8619 5.4591 8.4407
Se 4.3283 5.4591 3.4691
Tl 3.9776 1.8197 7.9303
Tl 2.2637 5.4591 1.3696
Tl 6.6983 0.0477 2.9365
Se 1.9130 1.8197 5.8308
```

Calculated values
Formation energy from raw total energies in eV per formula unit: -4.032
Calculated total energy in eV/atom: -2.9112
Symmetry: No. 11
Volume in A^3/atom: 38.4

Tl8SeI3Cl3 | GGA-PBE | relaxed

Geometry as extended XYZ:
```
15
Lattice="9.4120 0.0000 0.0000 -4.7060 8.1580 -0.0311 0.0000 -5.4126 8.0796" Properties=species:S:1:pos:R:3 pbc="T T T"
Tl 4.7060 0.0223 5.8222
I 0.0000 0.0000 0.0000
Se 0.0000 -2.7063 4.0398
Tl 0.0000 2.7232 2.2263
Tl 7.1580 -1.4118 2.3145
I -2.3530 4.0790 -0.0155
I 2.3530 4.0790 -0.0155
Tl 2.2540 -1.4118 2.3145
Tl 2.4520 4.1572 5.7340
Cl 2.3530 1.3727 4.0243
Cl 4.7060 -2.7063 4.0398
Tl 4.7060 2.8436 2.2987
Tl -2.4520 4.1572 5.7340
Tl 0.0000 -0.0981 5.7498
Cl -2.3530 1.3727 4.0243
```

Calculated values
Formation energy from raw total energies in eV per formula unit: -10.994
Calculated total energy in eV/atom: -2.9066
Symmetry: No. 12
Volume in A^3/atom: 41.3

V2SeICl | GGA-PBE | relaxed

Geometry as extended XYZ:
```
5
Lattice="-2.4097 2.2019 -3.1556 0.7191 -5.1096 -4.1145 -3.8159 -1.8462 1.6258" Properties=species:S:1:pos:R:3 pbc="T T T"
I 0.3595 -2.5548 -2.0572
Cl 0.0000 0.0000 0.0000
Se -2.7533 -2.3769 -2.8221
V -1.9080 -0.9231 0.8129
V -1.2049 1.1009 -1.5778
```

Calculated values
Formation energy from raw total energies in eV per formula unit: 4.290
Calculated total energy in eV/atom: -4.1656
Symmetry: No. 123
Volume in A^3/atom: 27.2

VSe2ICl | GGA-PBE | relaxed

Geometry as extended XYZ:
```
5
Lattice="-4.2617 -0.9133 -3.3789 -1.5015 -3.0221 2.7106 -2.9311 3.8409 2.6587" Properties=species:S:1:pos:R:3 pbc="T T T"
Se -1.4656 1.9204 1.3294
Cl 0.0000 0.0000 0.0000
I -4.3471 -0.0473 0.9952
Se -2.1308 -0.4567 -1.6895
V -0.7507 -1.5111 1.3553
```

Calculated values
Formation energy from raw total energies in eV per formula unit: 4.747
Calculated total energy in eV/atom: -2.9475
Symmetry: No. 123
Volume in A^3/atom: 26.3

V2SeICl | GGA-PBE | relaxed

Geometry as extended XYZ:
```
5
Lattice="5.0376 0.0000 0.0000 0.0000 5.6410 0.0000 0.0000 0.0000 5.0376" Properties=species:S:1:pos:R:3 pbc="T T T"
I 0.0000 2.8205 0.0000
V 0.0000 0.0000 2.5188
Se 0.0000 0.0000 0.0000
V 2.5188 0.0000 0.0000
Cl 2.5188 2.8205 2.5188
```

Calculated values
Formation energy from raw total energies in eV per formula unit: 2.939
Calculated total energy in eV/atom: -4.4358
Symmetry: No. 123
Volume in A^3/atom: 28.6

WSe2ICl | GGA-PBE | relaxed

Geometry as extended XYZ:
```
5
Lattice="-4.5965 1.7982 0.2532 0.1045 -0.5080 5.5048 1.8135 4.5810 0.3883" Properties=species:S:1:pos:R:3 pbc="T T T"
Se 0.9068 2.2905 0.1942
Se -2.2982 0.8991 0.1266
Cl 0.0000 0.0000 0.0000
I 0.0522 -0.2540 2.7524
W -1.3392 2.9356 3.0731
```

Calculated values
Formation energy from raw total energies in eV per formula unit: 8.549
Calculated total energy in eV/atom: -2.9541
Symmetry: No. 123
Volume in A^3/atom: 27.0

> Which value of calculated total energy does entry 4 give?

-2.9066 eV/atom